Density functional theory data (SCAN) for a crystal of BaTa2Os relaxed with PBEsol.

Unit cell a=4.8109 b=4.8109 c=4.8109 alpha=60.00 beta=60.00 gamma=60.00
Closest atoms and distances in Å follow each position.
Positions (direct):
Ba: 0.0000 0.0000 0.0000  4 Os 2.95, 4 Ta 2.95
Ta: 0.2500 0.2500 0.2500  4 Ba 2.95, 4 Ta 2.95
Ta: 0.5000 0.5000 0.5000  4 Ta 2.95, 4 Os 2.95
Os: 0.7500 0.7500 0.7500  4 Ta 2.95, 4 Ba 2.95

Properties
Uncorrected energy = -59.97 eV/atom
Space-group type = F-43m, No. 216
Crystal system = cubic
Energy of formation from the pure elements = 1.183 eV/atom
Energy relative to the lowest polymorph listed for this composition = 0.00 eV per formula unit


Density functional theory data (SCAN) for a crystal of BaTa2Os relaxed with PBEsol.

Unit cell a=3.1893 b=4.7558 c=5.1843 alpha=90.00 beta=90.00 gamma=90.00
Closest atoms and distances in Å follow each position.
Positions (direct):
Ba: 0.0000 0.0000 0.0000  4 Ta 2.86, 4 Os 3.04, 2 Ba 3.19
Ta: 0.0000 0.5000 0.5000  4 Os 2.86, 6 Ta 3.04-3.19
Ta: 0.5000 0.5000 0.0000  4 Ba 2.86, 6 Ta 3.04-3.19
Os: 0.5000 0.0000 0.5000  4 Ta 2.86, 4 Ba 3.04, 2 Os 3.19

Properties
Uncorrected energy = -59.95 eV/atom
Space-group type = Pmmm, No. 47
Crystal system = orthorhombic
Energy of formation from the pure elements = 1.198 eV/atom
Energy relative to the lowest polymorph listed for this composition = 0.06 eV per formula unit


Density functional theory data (SCAN) for a crystal of BaTcOs2 relaxed with PBEsol.

Unit cell a=4.7855 b=4.7855 c=4.7855 alpha=124.68 beta=124.68 gamma=82.07
Closest atoms and distances in Å follow each position.
Positions (direct):
Ba: 0.0000 0.0000 0.0000  8 Os 2.86, 4 Tc 3.14
Tc: 0.5000 0.5000 0.0000  8 Os 2.86, 4 Ba 3.14
Os: 0.2500 0.7500 0.5000  4 Ba 2.86, 4 Tc 2.86, 4 Os 3.14
Os: 0.7500 0.2500 0.5000  4 Ba 2.86, 4 Tc 2.86, 4 Os 3.14

Properties
Uncorrected energy = -52.95 eV/atom
Space-group type = I4/mmm, No. 139
Crystal system = tetragonal
Energy of formation from the pure elements = 1.645 eV/atom
Energy relative to the lowest polymorph listed for this composition = 0.00 eV per formula unit


Density functional theory data (SCAN) for a crystal of BaTcOs2 relaxed with PBEsol.

Unit cell a=4.9823 b=4.9823 c=2.9275 alpha=90.00 beta=90.00 gamma=90.00
Closest atoms and distances in Å follow each position.
Positions (direct):
Ba: 0.0000 0.0000 0.0000  8 Os 2.89, 2 Ba 2.93
Tc: 0.5000 0.5000 0.0000  8 Os 2.89, 2 Tc 2.93
Os: 0.0000 0.5000 0.5000  4 Ba 2.89, 4 Tc 2.89, 2 Os 2.93
Os: 0.5000 0.0000 0.5000  4 Ba 2.89, 4 Tc 2.89, 2 Os 2.93

Properties
Uncorrected energy = -52.84 eV/atom
Space-group type = P4/mmm, No. 123
Crystal system = tetragonal
Energy of formation from the pure elements = 1.754 eV/atom
Energy relative to the lowest polymorph listed for this composition = 0.44 eV per formula unit


Density functional theory data (SCAN) for a crystal of Ba3TiOs relaxed with PBEsol.

Unit cell a=5.8664 b=5.8664 c=5.8664 alpha=90.00 beta=90.00 gamma=90.00
Closest atoms and distances in Å follow each position.
Positions (direct):
Ba: 0.0000 0.0000 0.5000  2 Os 2.93
Ba: 0.0000 0.5000 0.0000  2 Os 2.93
Ba: 0.5000 0.0000 0.0000  2 Os 2.93
Ti: 0.5000 0.5000 0.5000  12 Ba 4.15
Os: 0.0000 0.0000 0.0000  6 Ba 2.93

Properties
Uncorrected energy = -40.45 eV/atom
Space-group type = Pm-3m, No. 221
Crystal system = cubic
Energy of formation from the pure elements = 0.863 eV/atom


Density functional theory data (SCAN) for a crystal of BaTl2Os relaxed with PBEsol.

Unit cell a=3.6220 b=3.6220 c=7.9245 alpha=90.00 beta=90.00 gamma=90.00
Closest atoms and distances in Å follow each position.
Positions (direct):
Ba: 0.0000 0.0000 0.0000  1 Tl 3.29, 4 Os 3.36, 4 Ba 3.62
Tl: 0.0000 0.0000 0.4153  4 Os 2.80
Tl: 0.5000 0.5000 0.6587  1 Os 3.05, 4 Tl 3.21
Os: 0.5000 0.5000 0.2738  5 Tl 2.80-3.05

Properties
Uncorrected energy = -63.53 eV/atom
Space-group type = P4mm, No. 99
Crystal system = tetragonal
Energy of formation from the pure elements = 0.510 eV/atom


Density functional theory data (SCAN) for a crystal of BaTl2Os relaxed with PBEsol.

Unit cell a=4.5138 b=4.5138 c=5.0494 alpha=90.00 beta=90.00 gamma=90.00
Closest atoms and distances in Å follow each position.
Positions (direct):
Ba: 0.0000 0.0000 0.0000  4 Os 3.19, 8 Tl 3.39
Tl: 0.0000 0.5000 0.5000  4 Tl 3.19, 4 Ba 3.39, 4 Os 3.39
Tl: 0.5000 0.0000 0.5000  4 Tl 3.19, 4 Ba 3.39, 4 Os 3.39
Os: 0.5000 0.5000 0.0000  4 Ba 3.19, 8 Tl 3.39

Properties
Uncorrected energy = -63.26 eV/atom
Space-group type = P4/mmm, No. 123
Crystal system = tetragonal
Energy of formation from the pure elements = 0.773 eV/atom


Density functional theory data (SCAN) for a crystal of BaTlOs2 relaxed with PBEsol.

Unit cell a=7.1904 b=7.1904 c=7.1904 alpha=34.21 beta=34.21 gamma=34.21
Closest atoms and distances in Å follow each position.
Positions (direct):
Ba: 0.0000 0.0000 0.0000  6 Os 3.44-3.47, 3 Tl 3.55
Tl: 0.7936 0.7936 0.7936  6 Os 2.99-3.01
Os: 0.2140 0.2140 0.2140  3 Os 2.44
Os: 0.5454 0.5454 0.5454  3 Os 2.44

Properties
Uncorrected energy = -63.69 eV/atom
Space-group type = R3m, No. 160
Crystal system = trigonal
Energy of formation from the pure elements = 0.229 eV/atom


Density functional theory data (SCAN) for a crystal of BaTl2Os relaxed with PBEsol.

Unit cell a=6.5470 b=6.5470 c=6.5470 alpha=41.92 beta=41.92 gamma=41.92
Closest atoms and distances in Å follow each position.
Positions (direct):
Ba: 0.0000 0.0000 0.0000  1 Os 3.31, 7 Tl 3.44-3.70
Tl: 0.2069 0.2069 0.2069  3 Os 2.90, 3 Tl 3.13
Tl: 0.4518 0.4518 0.4518  3 Os 2.76
Os: 0.8152 0.8152 0.8152  6 Tl 2.76-2.90

Properties
Uncorrected energy = -63.72 eV/atom
Space-group type = R3m, No. 160
Crystal system = trigonal
Energy of formation from the pure elements = 0.321 eV/atom


Density functional theory data (SCAN) for a crystal of BaTl2Os relaxed with PBEsol.

Unit cell a=3.4544 b=3.4544 c=8.0798 alpha=90.00 beta=90.00 gamma=90.00
Closest atoms and distances in Å follow each position.
Positions (direct):
Ba: 0.0000 0.0000 0.0000  4 Ba 3.45, 8 Tl 3.49
Tl: 0.5000 0.5000 0.3090  4 Os 2.89, 1 Tl 3.09
Tl: 0.5000 0.5000 0.6910  4 Os 2.89, 1 Tl 3.09
Os: 0.0000 0.0000 0.5000  8 Tl 2.89

Properties
Uncorrected energy = -63.62 eV/atom
Space-group type = P4/mmm, No. 123
Crystal system = tetragonal
Energy of formation from the pure elements = 0.416 eV/atom


Density functional theory data (SCAN) for a crystal of BaTlOs relaxed with PBEsol.

Unit cell a=5.1377 b=5.1377 c=5.1377 alpha=60.00 beta=60.00 gamma=60.00
Closest atoms and distances in Å follow each position.
Positions (direct):
Ba: 0.0000 0.0000 0.0000  4 Tl 3.15, 4 Os 3.15
Tl: 0.2500 0.2500 0.2500  4 Ba 3.15
Os: 0.7500 0.7500 0.7500  4 Ba 3.15

Properties
Uncorrected energy = -59.64 eV/atom
Space-group type = F-43m, No. 216
Crystal system = cubic
Energy of formation from the pure elements = 1.621 eV/atom


Density functional theory data (SCAN) for a crystal of BaTl3Os relaxed with PBEsol.

Unit cell a=5.2548 b=5.2548 c=5.2548 alpha=90.00 beta=90.00 gamma=90.00
Closest atoms and distances in Å follow each position.
Positions (direct):
Ba: 0.0000 0.0000 0.0000  12 Tl 3.72
Tl: 0.0000 0.5000 0.5000  2 Os 2.63
Tl: 0.5000 0.0000 0.5000  2 Os 2.63
Tl: 0.5000 0.5000 0.0000  2 Os 2.63
Os: 0.5000 0.5000 0.5000  6 Tl 2.63

Properties
Uncorrected energy = -65.69 eV/atom
Space-group type = Pm-3m, No. 221
Crystal system = cubic
Energy of formation from the pure elements = 0.006 eV/atom